# PBE DyEr5Pt4, relaxed
# crystal system: monoclinic
# formation energy from the elements: -1.022 eV per atom
# calculated total energy: -6.1798 eV/atom
# size of the total moment: 0.0000 μB per atom
data_DyEr5Pt4
_chemical_formula_sum 'Dy2 Er10 Pt8'
_cell_length_a 18.470
_cell_length_b 4.147
_cell_length_c 7.589
_cell_angle_alpha 90.00
_cell_angle_beta 114.13
_cell_angle_gamma 90.00
_space_group_name_H-M_alt 'C 1 2/m 1'
_space_group_IT_number 12
_space_group_name_Hall '-C 2y'
loop_
_atom_site_label
_atom_site_fract_x
_atom_site_fract_y
_atom_site_fract_z
_atom_site_occupancy
Dy1 0.000 0.000 0.000 1
Er1 0.000 0.000 0.500 1
Er2 0.165 0.500 0.406 1
Er3 0.165 0.500 0.923 1
Pt1 0.000 0.500 0.256 1
Pt2 0.207 0.000 0.207 1

# PBE DyErPt, relaxed
# crystal system: trigonal
# offset from the most stable computed form: 201 meV/atom
# formation energy from the elements: -0.774 eV per atom
# calculated total energy: -5.8429 eV/atom
# size of the total moment: 0.0000 μB per atom
data_DyErPt
_chemical_formula_sum 'Dy1 Er1 Pt1'
_cell_length_a 4.0983
_cell_length_b 4.0983
_cell_length_c 6.1060
_cell_angle_alpha 90.00
_cell_angle_beta 90.00
_cell_angle_gamma 120.00
_space_group_name_H-M_alt 'P 3 m 1'
_space_group_IT_number 156
_space_group_name_Hall 'P 3 -2"'
loop_
_atom_site_label
_atom_site_fract_x
_atom_site_fract_y
_atom_site_fract_z
_atom_site_occupancy
Dy1 0.0000 0.0000 0.0000 1
Er1 0.3333 0.6667 0.4838 1
Pt1 0.6667 0.3333 0.2461 1

# PBE Dy3Er2Pt2, relaxed
# crystal system: monoclinic
# formation energy from the elements: -0.796 eV per atom
# calculated total energy: -5.7980 eV/atom
# size of the total moment: 0.0001 μB per atom
data_Dy3Er2Pt2
_chemical_formula_sum 'Dy6 Er4 Pt4'
_cell_length_a 12.219
_cell_length_b 3.743
_cell_length_c 9.001
_cell_angle_alpha 90.00
_cell_angle_beta 116.05
_cell_angle_gamma 90.00
_space_group_name_H-M_alt 'C 1 2/m 1'
_space_group_IT_number 12
_space_group_name_Hall '-C 2y'
loop_
_atom_site_label
_atom_site_fract_x
_atom_site_fract_y
_atom_site_fract_z
_atom_site_occupancy
Dy1 0.000 0.000 0.000 1
Dy2 0.114 0.000 0.434 1
Er1 0.165 0.500 0.813 1
Pt1 0.176 0.500 0.238 1

# PBE DyErPt, relaxed
# crystal system: orthorhombic
# offset from the most stable computed form: 142 meV/atom
# formation energy from the elements: -0.833 eV per atom
# calculated total energy: -5.9017 eV/atom
# size of the total moment: 0.0000 μB per atom
data_DyErPt
_chemical_formula_sum 'Dy4 Er4 Pt4'
_cell_length_a 3.544
_cell_length_b 16.178
_cell_length_c 5.129
_cell_angle_alpha 90.00
_cell_angle_beta 90.00
_cell_angle_gamma 90.00
_space_group_name_H-M_alt 'C m c m'
_space_group_IT_number 63
_space_group_name_Hall '-C 2c 2'
loop_
_atom_site_label
_atom_site_fract_x
_atom_site_fract_y
_atom_site_fract_z
_atom_site_occupancy
Dy1 0.000 0.073 0.250 1
Er1 0.000 0.215 0.750 1
Pt1 0.000 0.425 0.250 1

# PBE DyErScPt, relaxed
# crystal system: cubic
# formation energy from the elements: -0.393 eV per atom
# calculated total energy: -5.7775 eV/atom
# size of the total moment: 0.2289 μB per atom
data_DyErScPt
_chemical_formula_sum 'Dy4 Er4 Sc4 Pt4'
_cell_length_a 7.176
_cell_length_b 7.176
_cell_length_c 7.176
_cell_angle_alpha 90.00
_cell_angle_beta 90.00
_cell_angle_gamma 90.00
_space_group_name_H-M_alt 'F -4 3 m'
_space_group_IT_number 216
_space_group_name_Hall 'F -4 2 3'
loop_
_atom_site_label
_atom_site_fract_x
_atom_site_fract_y
_atom_site_fract_z
_atom_site_occupancy
Dy1 0.000 0.000 0.000 1
Er1 0.000 0.000 0.500 1
Sc1 0.250 0.250 0.750 1
Pt1 0.250 0.250 0.250 1

# PBE Dy2ErSi2Pt7, relaxed
# crystal system: monoclinic
# E_form (uncorrected): -1.14 eV per atom
# calculated total energy: -6.7158 eV/atom
# size of the total moment: 0.0000 μB per atom
data_Dy2ErSi2Pt7
_chemical_formula_sum 'Dy4 Er2 Si4 Pt14'
_cell_length_a 5.720
_cell_length_b 5.673
_cell_length_c 13.773
_cell_angle_alpha 90.00
_cell_angle_beta 98.80
_cell_angle_gamma 90.00
_space_group_name_H-M_alt 'C 1 2/m 1'
_space_group_IT_number 12
_space_group_name_Hall '-C 2y'
loop_
_atom_site_label
_atom_site_fract_x
_atom_site_fract_y
_atom_site_fract_z
_atom_site_occupancy
Dy1 0.118 0.000 0.356 1
Er1 0.000 0.000 0.000 1
Si1 0.096 0.500 0.257 1
Pt1 0.000 0.500 0.000 1
Pt2 0.135 0.500 0.428 1
Pt3 0.190 0.250 0.839 1

# PBE DyErZnPt, relaxed
# crystal system: cubic
# offset from the most stable computed form: 15 meV/atom
# formation energy from the elements: -0.807 eV per atom
# calculated total energy: -4.9270 eV/atom
# size of the total moment: 0.0000 μB per atom
data_DyErZnPt
_chemical_formula_sum 'Dy4 Er4 Zn4 Pt4'
_cell_length_a 7.015
_cell_length_b 7.015
_cell_length_c 7.015
_cell_angle_alpha 90.00
_cell_angle_beta 90.00
_cell_angle_gamma 90.00
_space_group_name_H-M_alt 'F -4 3 m'
_space_group_IT_number 216
_space_group_name_Hall 'F -4 2 3'
loop_
_atom_site_label
_atom_site_fract_x
_atom_site_fract_y
_atom_site_fract_z
_atom_site_occupancy
Dy1 0.000 0.000 0.000 1
Er1 0.000 0.000 0.500 1
Zn1 0.250 0.250 0.750 1
Pt1 0.250 0.250 0.250 1

# PBE DyErZnPt, relaxed
# crystal system: tetragonal
# offset from the most stable computed form: 0 meV/atom
# formation energy from the elements: -0.823 eV per atom
# calculated total energy: -4.9424 eV/atom
# size of the total moment: 0.0000 μB per atom
data_DyErZnPt
_chemical_formula_sum 'Dy1 Er1 Zn1 Pt1'
_cell_length_a 3.535
_cell_length_b 3.535
_cell_length_c 6.922
_cell_angle_alpha 90.00
_cell_angle_beta 90.00
_cell_angle_gamma 90.00
_space_group_name_H-M_alt 'P 4 m m'
_space_group_IT_number 99
_space_group_name_Hall 'P 4 -2'
loop_
_atom_site_label
_atom_site_fract_x
_atom_site_fract_y
_atom_site_fract_z
_atom_site_occupancy
Dy1 0.000 0.000 0.000 1
Er1 0.000 0.000 0.486 1
Zn1 0.500 0.500 0.739 1
Pt1 0.500 0.500 0.248 1